(1)
VASP calculation (PBE) on Y4Ta3 after structural relaxation.

Calculated values
* crystal system: tetragonal
* energy of formation: 26 kJ/mol of atoms
* DOS at the Fermi energy: 1.4623 states/eV per atom
* offset from the most stable computed form: 0.00 kcal/mol of atoms
* VASP energy: -8.51 eV/atom
* theoretical density: 8.14 g cm⁻³
* space-group type: No. 139
* calculated volume: 26.2 A^3/atom

Cell: 3.477 3.477 30.322 Å, 90.00 90.00 90.00°
Fractional positions:
Y1 0.000 0.000 0.066
Y2 0.000 0.000 0.337
Y3 0.000 0.000 0.663
Y4 0.000 0.000 0.934
Y5 0.500 0.500 0.163
Y6 0.500 0.500 0.434
Y7 0.500 0.500 0.566
Y8 0.500 0.500 0.837
Ta1 0.000 0.000 0.229
Ta2 0.000 0.000 0.500
Ta3 0.000 0.000 0.771
Ta4 0.500 0.500 0.000
Ta5 0.500 0.500 0.271
Ta6 0.500 0.500 0.729

---

(2)
VASP calculation (PBE) on BaCa2As after structural relaxation.

Calculated values
* crystal system: tetragonal
* energy of formation: -47 kJ/mol of atoms
* DOS at the Fermi energy: 1.1850 states/eV per atom
* VASP energy: -3.13 eV/atom
* theoretical density: 2.93 g cm⁻³
* space-group type: No. 122
* calculated volume: 41.4 A^3/atom

Cell: 9.874 9.874 6.792 Å, 90.00 90.00 90.00°
Fractional positions:
Ba1 0.000 0.000 0.000
Ba2 0.000 0.500 0.250
Ba3 0.500 0.000 0.750
Ba4 0.500 0.500 0.500
Ca1 0.143 0.250 0.625
Ca2 0.250 0.643 0.875
Ca3 0.250 0.857 0.375
Ca4 0.357 0.250 0.125
Ca5 0.643 0.750 0.125
Ca6 0.750 0.143 0.375
Ca7 0.750 0.357 0.875
Ca8 0.857 0.750 0.625
As1 0.000 0.000 0.500
As2 0.000 0.500 0.750
As3 0.500 0.000 0.250
As4 0.500 0.500 0.000

---

(3)
VASP calculation (PBE) on Dy8IrAu2 after structural relaxation.

Calculated values
* crystal system: monoclinic
* energy of formation: -49 kJ/mol of atoms
* DOS at the Fermi energy: 0.8669 states/eV per atom
* offset from the most stable computed form: 0.00 kcal/mol of atoms
* VASP energy: -5.26 eV/atom
* theoretical density: 10.70 g cm⁻³
* space-group type: No. 12
* calculated volume: 26.6 A^3/atom

Cell: 9.130 9.130 6.774 Å, 104.46 104.46 32.47°
Fractional positions:
Dy1 0.030 0.030 0.289
Dy2 0.204 0.204 0.818
Dy3 0.340 0.340 0.530
Dy4 0.412 0.412 0.065
Dy5 0.588 0.588 0.935
Dy6 0.660 0.660 0.470
Dy7 0.796 0.796 0.182
Dy8 0.970 0.970 0.711
Ir1 0.500 0.500 0.500
Au1 0.187 0.187 0.228
Au2 0.813 0.813 0.772

---

(4)
VASP calculation (PBE) on Hf4CuP2 after structural relaxation.

Calculated values
* crystal system: tetragonal
* energy of formation: 11 kJ/mol of atoms
* DOS at the Fermi energy: 1.1037 states/eV per atom
* VASP energy: -7.70 eV/atom
* theoretical density: 9.38 g cm⁻³
* space-group type: No. 139
* calculated volume: 21.2 A^3/atom

Cell: 4.767 4.767 13.070 Å, 90.00 90.00 90.00°
Fractional positions:
Hf1 0.000 0.000 0.192
Hf2 0.000 0.000 0.808
Hf3 0.000 0.500 0.000
Hf4 0.000 0.500 0.500
Hf5 0.500 0.000 0.000
Hf6 0.500 0.000 0.500
Hf7 0.500 0.500 0.308
Hf8 0.500 0.500 0.692
Cu1 0.000 0.000 0.000
Cu2 0.500 0.500 0.500
P1 0.000 0.000 0.383
P2 0.000 0.000 0.617
P3 0.500 0.500 0.117
P4 0.500 0.500 0.883

---

(5)
VASP calculation (PBE) on DyScCdHg after structural relaxation.

Calculated values
* crystal system: cubic
* energy of formation: -36 kJ/mol of atoms
* DOS at the Fermi energy: 1.0372 states/eV per atom
* VASP energy: -3.41 eV/atom
* theoretical density: 9.01 g cm⁻³
* space-group type: No. 216
* calculated volume: 24.0 A^3/atom

Cell: 7.266 7.266 7.266 Å, 90.00 90.00 90.00°
Fractional positions:
Dy1 0.000 0.000 0.000
Dy2 0.000 0.500 0.500
Dy3 0.500 0.000 0.500
Dy4 0.500 0.500 0.000
Sc1 0.000 0.000 0.500
Sc2 0.000 0.500 0.000
Sc3 0.500 0.000 0.000
Sc4 0.500 0.500 0.500
Cd1 0.250 0.250 0.750
Cd2 0.250 0.750 0.250
Cd3 0.750 0.250 0.250
Cd4 0.750 0.750 0.750
Hg1 0.250 0.250 0.250
Hg2 0.250 0.750 0.750
Hg3 0.750 0.250 0.750
Hg4 0.750 0.750 0.250

---

(6)
VASP calculation (PBE) on YGaPbCl6 after structural relaxation.

Calculated values
* crystal system: tetragonal
* DOS at the Fermi energy: 0.0000 states/eV per atom
* raw formation energy: -1.552 eV per atom
* VASP energy: -4.25 eV/atom
* theoretical density: 3.29 g cm⁻³
* space-group type: No. 102
* calculated volume: 32.5 A^3/atom

Cell: 6.733 6.733 12.887 Å, 90.00 90.00 90.00°
Fractional positions:
Y1 0.000 0.000 0.000
Y2 0.500 0.500 0.500
Ga1 0.000 0.000 0.332
Ga2 0.500 0.500 0.832
Pb1 0.000 0.000 0.665
Pb2 0.500 0.500 0.165
Cl1 0.185 0.185 0.844
Cl2 0.193 0.193 0.150
Cl3 0.220 0.220 0.505
Cl4 0.280 0.720 0.005
Cl5 0.307 0.693 0.650
Cl6 0.315 0.685 0.344
Cl7 0.685 0.315 0.344
Cl8 0.693 0.307 0.650
Cl9 0.720 0.280 0.005
Cl10 0.780 0.780 0.505
Cl11 0.807 0.807 0.150
Cl12 0.815 0.815 0.844

---

(7)
VASP calculation (PBE) on NaLaMg after structural relaxation.

Calculated values
* crystal system: monoclinic
* energy of formation: 6 kJ/mol of atoms
* DOS at the Fermi energy: 0.9235 states/eV per atom
* offset from the most stable computed form: 0.00 kcal/mol of atoms
* VASP energy: -2.55 eV/atom
* theoretical density: 3.21 g cm⁻³
* space-group type: No. 8
* calculated volume: 32.1 A^3/atom

Cell: 6.047 3.583 17.864 Å, 90.00 95.29 90.00°
Fractional positions:
Na1 0.000 0.000 0.000
Na2 0.089 0.500 0.819
Na3 0.500 0.500 0.000
Na4 0.589 0.000 0.819
La1 0.185 0.000 0.635
La2 0.407 0.000 0.184
La3 0.685 0.500 0.635
La4 0.907 0.500 0.184
Mg1 0.110 0.000 0.342
Mg2 0.485 0.000 0.478
Mg3 0.610 0.500 0.342
Mg4 0.985 0.500 0.478